# 1
Computed, not measured: an optimized crystal structure of KAsIrPb at the GGA-PBE level of DFT.

Unit cell a=4.222 b=4.222 c=12.648 alpha=90.00 beta=90.00 gamma=90.00
Element x y z (fractional)
1 As 0.250 0.250 0.106
2 As 0.750 0.750 0.894
3 Ir 0.750 0.250 0.000
4 Ir 0.250 0.750 0.000
5 K 0.750 0.750 0.243
6 K 0.250 0.250 0.757
7 Pb 0.250 0.750 0.500
8 Pb 0.750 0.250 0.500

Results
SG: P4/nmm, No. 129
energy of formation from the pure elements: -0.22 eV/atom



# 2
Computed, not measured: an optimized crystal structure of MgGeF at the GGA-PBE level of DFT.

Unit cell a=3.537 b=15.541 c=3.483 alpha=90.00 beta=90.00 gamma=90.00
Element x y z (fractional)
1 F 0.500 0.254 0.250
2 F 0.000 0.754 0.250
3 F 0.500 0.746 0.750
4 F 0.000 0.246 0.750
5 Ge 0.500 0.559 0.250
6 Ge 0.000 0.059 0.250
7 Ge 0.000 0.941 0.750
8 Ge 0.500 0.441 0.750
9 Mg 0.000 0.673 0.750
10 Mg 0.500 0.173 0.750
11 Mg 0.500 0.827 0.250
12 Mg 0.000 0.327 0.250

Results
SG: Cmcm, No. 63
ΔE_f (raw): -1573 meV/atom



# 3
Computed, not measured: an optimized crystal structure of La2As2Rh at the GGA-PBE level of DFT.

Unit cell a=7.092 b=7.092 c=4.553 alpha=90.00 beta=90.00 gamma=90.00
Element x y z (fractional)
1 As 0.139 0.361 0.000
2 As 0.861 0.639 0.000
3 As 0.639 0.139 0.000
4 As 0.361 0.861 0.000
5 La 0.326 0.174 0.500
6 La 0.674 0.826 0.500
7 La 0.174 0.674 0.500
8 La 0.826 0.326 0.500
9 Rh 0.000 0.000 0.000
10 Rh 0.500 0.500 0.000

Results
SG: P4/mbm, No. 127
energy of formation from the pure elements: -1.01 eV/atom



# 4
Computed, not measured: an optimized crystal structure of Tb2Pr3Dy6Th at the GGA-PBE level of DFT.

Unit cell a=6.229 b=6.229 c=11.860 alpha=95.03 beta=95.03 gamma=119.97
Element x y z (fractional)
1 Tb 0.667 0.333 0.000
2 Tb 0.333 0.667 0.000
3 Dy 0.247 0.247 0.754
4 Dy 0.412 0.082 0.246
5 Dy 0.082 0.412 0.246
6 Dy 0.588 0.918 0.754
7 Dy 0.918 0.588 0.754
8 Dy 0.753 0.753 0.246
9 Pr 0.167 0.833 0.500
10 Pr 0.833 0.167 0.500
11 Pr 0.500 0.500 0.500
12 Th 0.000 0.000 0.000

Results
SG: C2/m, No. 12
energy of formation from the pure elements: 0.02 eV/atom



# 5
Computed, not measured: an optimized crystal structure of Be2AgTe at the GGA-PBE level of DFT.

Unit cell a=3.749 b=3.749 c=6.004 alpha=73.86 beta=73.86 gamma=58.29
Element x y z (fractional)
1 Be 0.503 0.503 0.479
2 Be 0.997 0.997 0.021
3 Te 0.750 0.750 0.750
4 Ag 0.250 0.250 0.250

Results
SG: C2/m, No. 12
ΔE_f (raw): 433 meV/atom



# 6
Computed, not measured: an optimized crystal structure of LiTa2Rh at the GGA-PBE level of DFT.

Unit cell a=5.229 b=5.229 c=4.405 alpha=65.10 beta=65.10 gamma=36.53
Element x y z (fractional)
1 Ta 0.515 0.515 0.485
2 Ta 0.985 0.985 0.015
3 Rh 0.250 0.250 0.250
4 Li 0.750 0.750 0.750

Results
SG: Immm, No. 71
energy of formation from the pure elements: -0.02 eV/atom



# 7
Computed, not measured: an optimized crystal structure of Ba2MgCl at the GGA-PBE level of DFT.

Unit cell a=4.019 b=4.019 c=9.350 alpha=90.00 beta=90.00 gamma=89.99
Element x y z (fractional)
1 Ba 0.000 0.000 0.493
2 Ba 0.000 0.000 0.007
3 Cl 0.500 0.500 0.250
4 Mg 0.500 0.500 0.750

Results
SG: P4/mmm, No. 123
ΔE_f (raw): -790 meV/atom



# 8
Computed, not measured: an optimized crystal structure of ScSnN2O at the GGA-PBE level of DFT.

Unit cell a=4.291 b=4.291 c=4.048 alpha=90.00 beta=90.00 gamma=90.00
Site moments in Bohr magnetons follow the coordinates.
Element x y z (fractional)
1 N 0.000 0.500 0.000  0.91
2 N 0.500 0.000 0.000  0.91
3 Sn 0.500 0.500 0.500  0.03
4 O 0.000 0.000 0.500  0.35
5 Sc 0.000 0.000 0.000  -0.02

Results
SG: P4/mmm, No. 123
ΔE_f (raw): -61 meV/atom



# 9
Computed, not measured: an optimized crystal structure of AgIr3 at the GGA-PBE level of DFT.

Unit cell a=8.345 b=8.345 c=8.345 alpha=152.76 beta=152.76 gamma=38.90
Element x y z (fractional)
1 Ir 0.000 0.500 0.500
2 Ir 0.250 0.750 0.500
3 Ir 0.127 0.127 0.000
4 Ir 0.500 0.000 0.500
5 Ir 0.873 0.873 0.000
6 Ir 0.750 0.250 0.500
7 Ag 0.376 0.376 0.000
8 Ag 0.624 0.624 0.000

Results
SG: I4/mmm, No. 139
energy of formation from the pure elements: 0.46 eV/atom



# 10
Computed, not measured: an optimized crystal structure of Pr8Tl2Hg at the GGA-PBE level of DFT.

Unit cell a=5.414 b=7.087 c=10.254 alpha=105.38 beta=105.31 gamma=90.00
Element x y z (fractional)
1 Tl 0.177 0.748 0.355
2 Tl 0.823 0.252 0.645
3 Pr 0.207 0.320 0.415
4 Pr 0.011 0.766 0.023
5 Pr 0.989 0.234 0.977
6 Pr 0.407 0.526 0.815
7 Pr 0.793 0.680 0.585
8 Pr 0.658 0.989 0.317
9 Pr 0.342 0.011 0.683
10 Pr 0.593 0.474 0.185
11 Hg 0.500 0.000 0.000

Results
SG: C2/m, No. 12
energy of formation from the pure elements: -0.19 eV/atom



# 11
Computed, not measured: an optimized crystal structure of TeH2Os2 at the GGA-PBE level of DFT.

Unit cell a=6.145 b=6.145 c=3.050 alpha=90.00 beta=90.00 gamma=90.00
Element x y z (fractional)
1 Te 0.500 0.500 0.000
2 Te 0.000 0.000 0.000
3 Os 0.154 0.654 0.500
4 Os 0.346 0.154 0.500
5 Os 0.654 0.846 0.500
6 Os 0.846 0.346 0.500
7 H 0.934 0.566 0.000
8 H 0.066 0.434 0.000
9 H 0.434 0.934 0.000
10 H 0.566 0.066 0.000

Results
SG: P4/mbm, No. 127



Number 1: uncorrected energy -38.42 eV per cell, Fermi-level density of states 0.47 states/eV per atom, magnetization 0.00 μB/cell. Number 2: uncorrected energy -51.21 eV per cell, Fermi-level density of states 0.23 states/eV per atom, magnetization 0.00 μB/cell. Number 3: uncorrected energy -63.15 eV per cell, Fermi-level density of states 0.97 states/eV per atom, magnetization 0.00 μB/cell. Number 4: uncorrected energy -58.38 eV per cell, Fermi-level density of states 1.29 states/eV per atom, magnetization 0.00 μB/cell. Number 5: uncorrected energy -11.72 eV per cell, Fermi-level density of states 0.37 states/eV per atom, magnetization 0.00 μB/cell. Number 6: uncorrected energy -33.04 eV per cell, Fermi-level density of states 0.58 states/eV per atom, magnetization 0.00 μB/cell. Number 7: uncorrected energy -10.45 eV per cell, Fermi-level density of states 1.01 states/eV per atom, magnetization 0.38 μB/cell. Number 8: uncorrected energy -32.25 eV per cell, Fermi-level density of states 0.35 states/eV per atom, magnetization 3.00 μB/cell. Number 9: uncorrected energy -55.20 eV per cell, Fermi-level density of states 1.57 states/eV per atom, magnetization 0.00 μB/cell. Number 10: uncorrected energy -45.37 eV per cell, Fermi-level density of states 1.12 states/eV per atom, magnetization 0.00 μB/cell. Number 11: uncorrected energy -54.77 eV per cell, Fermi-level density of states 0.69 states/eV per atom, magnetization 0.00 μB/cell.